(1)
Compound: RbBrNF2
Source: the Alexandria database
Functional: PBE
Structure: relaxed

Results
- Crystal system: tetragonal
- Magnetization: 0.0371 μB/atom
- Energy relative to the lowest polymorph listed for this composition: 0 kJ/mol of formula units
- E_form (uncorrected): -41 kJ per mole of atoms
- E: -0.2475 Ry/atom
- DOS(E_F): 2.858 states/eV/cell
- Mass density: 3963 kg/m³

```
data_RbBrNF2
_chemical_formula_sum 'Rb1 Br1 N1 F2'
_cell_length_a 4.9320
_cell_length_b 4.9320
_cell_length_c 3.7449
_cell_angle_alpha 90.00
_cell_angle_beta 90.00
_cell_angle_gamma 90.00
_symmetry_space_group_name_H-M 'P 4/m m m'
_symmetry_Int_Tables_number 123
_symmetry_space_group_name_Hall '-P 4 2'
loop_
_atom_site_label
_atom_site_fract_x
_atom_site_fract_y
_atom_site_fract_z
Rb1 0.0000 0.0000 0.0000
Br1 0.5000 0.5000 0.5000
N1 0.5000 0.5000 0.0000
F1 0.0000 0.5000 0.5000
```



(2)
Compound: Rb2BrNF6
Source: the Alexandria database
Functional: PBE
Structure: relaxed

Results
- Crystal system: tetragonal
- Magnetization: 0.1789 μB/atom
- E_form (uncorrected): -110 kJ per mole of atoms
- E: -0.2542 Ry/atom
- DOS(E_F): 4.244 states/eV/cell
- Mass density: 3433 kg/m³

```
data_Rb2BrNF6
_chemical_formula_sum 'Rb4 Br2 N2 F12'
_cell_length_a 6.3069
_cell_length_b 6.3069
_cell_length_c 9.2126
_cell_angle_alpha 90.00
_cell_angle_beta 90.00
_cell_angle_gamma 90.00
_symmetry_space_group_name_H-M 'I 4/m m m'
_symmetry_Int_Tables_number 139
_symmetry_space_group_name_Hall '-I 4 2'
loop_
_atom_site_label
_atom_site_fract_x
_atom_site_fract_y
_atom_site_fract_z
Rb1 0.0000 0.5000 0.2500
Br1 0.0000 0.0000 0.0000
N1 0.0000 0.0000 0.5000
F1 0.0000 0.0000 0.2112
F2 0.1939 0.1939 0.5000
```